BaCdCoO4 | PBE with a Hubbard U | optimized geometry

Geometry as extended XYZ:
```
14
Lattice="-4.726 -3.114 0.221 0.822 -1.649 -5.667 5.441 -4.172 2.004" Properties=species:S:1:pos:R:3 pbc="T T T"
Ba 2.263 -7.406 -2.216
Ba -0.727 -1.530 -1.227
Cd -0.725 -5.737 -3.135
Cd 2.261 -3.199 -0.308
Co 1.187 -3.418 -3.533
Co 0.350 -5.518 0.090
O -0.270 -6.789 -1.089
O 2.189 -2.916 -4.993
O 1.807 -2.148 -2.354
O -0.653 -6.021 1.550
O -0.573 -3.235 -3.842
O 2.110 -5.701 0.399
O 1.519 -5.058 -3.008
O 0.018 -3.878 -0.435
```

Size of the total moment (μB per cell): 9.989
Raw total energy (eV per atom): -5.333
Symmetry: No. 11